## HfCrHg2 (GGA-PBEsol)

Data for crystalline HfCrHg2 at its relaxed geometry.

E_tot   -5.3081 eV/atom
Calculated volume   18.75 A^3/atom
Crystal system   cubic

Cell: 4.734 4.734 4.734 Å, 60.00 60.00 60.00°
Element x y z (fractional)
Hf (0.000, 0.000, 0.000)
Cr (0.500, 0.500, 0.500)
Hg (0.250, 0.250, 0.250)
Hg (0.750, 0.750, 0.750)